(1)
Zr3GeMo (PBE-GGA, optimized geometry); space group = Pm-3m (221); energy relative to the elements = 0.70 eV per atom; crystal system = cubic; distance to the lowest polymorph of the same formula = 0 meV/atom
1.0
5.013 0.000 0.000
0.000 5.013 0.000
0.000 0.000 5.013
Zr Ge Mo
3 1 1
Cartesian
0.000 2.507 0.000
2.507 0.000 0.000
0.000 0.000 2.507
2.507 2.507 2.507
0.000 0.000 0.000

***

(2)
ThGe2Ir2 (PBE-GGA, optimized geometry); space group = P4/nmm (129); energy relative to the elements = -0.82 eV per atom; crystal system = tetragonal
1.0
4.271 0.000 0.000
0.000 4.271 0.000
0.000 0.000 10.239
Ge Ir Th
4 4 2
Cartesian
0.000 0.000 5.120
2.135 0.000 1.352
0.000 2.135 8.887
2.135 2.135 5.120
0.000 2.135 6.443
2.135 0.000 3.796
0.000 0.000 0.000
2.135 2.135 0.000
2.135 0.000 7.646
0.000 2.135 2.594

***

(3)
AcTb6Th (PBE-GGA, optimized geometry); space group = P-1 (2); energy relative to the elements = 0.24 eV per atom; crystal system = triclinic; distance to the lowest polymorph of the same formula = 205 meV/atom
1.0
-5.192 -3.976 1.683
3.770 -5.602 -0.571
-1.718 -0.228 6.648
Tb Ac Th
6 1 1
Cartesian
-1.004 -6.662 3.918
-4.551 -5.316 4.916
-1.707 -6.530 7.115
-1.432 -3.275 0.645
-2.135 -3.144 3.842
1.412 -4.489 2.844
0.000 0.000 0.000
1.885 -2.801 -0.285

***

(4)
Rb2CrAsS4 (PBE-GGA, optimized geometry); space group = Fddd (70); crystal system = orthorhombic; uncorrected formation energy = -0.6254 eV per atom
1.0
6.467 0.000 0.000
3.234 7.072 0.000
3.234 0.000 11.224
S Cr As Rb
8 2 2 4
Cartesian
4.777 1.367 10.216
4.923 1.367 1.007
4.777 5.705 1.007
3.160 2.169 4.604
9.627 4.902 6.619
6.540 4.902 4.604
6.540 2.169 6.619
11.390 5.705 10.216
8.084 3.536 5.612
0.000 0.000 0.000
4.850 3.536 5.612
3.234 0.000 0.000
6.467 0.000 3.962
8.084 3.536 1.650
8.084 3.536 9.574
3.234 0.000 7.262

***

(5)
AcInPd2 (PBE-GGA, optimized geometry); space group = P4/mmm (123); energy relative to the elements = -0.54 eV per atom; crystal system = tetragonal
1.0
-2.309 -1.629 -2.312
1.839 -4.488 1.325
-3.433 -0.327 3.658
In Pd Ac
1 2 1
Cartesian
-1.951 -3.222 1.336
-1.717 -0.163 1.829
0.920 -2.244 0.663
-1.154 -0.814 -1.156

***

(6)
BaSnP2O (PBE-GGA, optimized geometry); space group = P4/mmm (123); crystal system = tetragonal; uncorrected formation energy = 0.6384 eV per atom; distance to the lowest polymorph of the same formula = 1010 meV/atom
1.0
-1.099 -3.801 -4.342
4.840 -3.015 1.414
-2.346 -2.472 2.758
P Sn Ba O
2 1 1 1
Cartesian
-0.549 -1.901 -2.171
2.420 -1.507 0.707
0.698 -4.644 -0.085
0.000 0.000 0.000
-1.173 -1.236 1.379

***

| no. | DOS(E_F) (states/eV/cell) | spin magnetization (μB per cell) |
| --- | --- | --- |
| 1 | 7.96 | 1.252 |
| 2 | 5.37 | 0.000 |
| 3 | 14.75 | 0.000 |
| 4 | 5.78 | 6.000 |
| 5 | 2.32 | 0.000 |
| 6 | 1.66 | 2.248 |